## Tl3WO7 (GGA+U)

Data for a relaxed Tl3WO7 crystal.

The structure in POSCAR format:
```
Tl3WO7
1.0
5.4443 -3.8458 0.0000
5.4443 3.8458 0.0000
0.0000 0.0000 7.6479
Tl W O
6 2 14
direct
0.0000 0.5000 0.0000 Tl
0.0000 0.5000 0.5000 Tl
0.0207 0.9793 0.7500 Tl
0.5000 0.0000 0.0000 Tl
0.5000 0.0000 0.5000 Tl
0.9793 0.0207 0.2500 Tl
0.4977 0.5023 0.2500 W
0.5023 0.4977 0.7500 W
0.1407 0.1407 0.0000 O
0.1407 0.1407 0.5000 O
0.1882 0.5635 0.7500 O
0.1976 0.5452 0.2500 O
0.4365 0.8118 0.7500 O
0.4548 0.8024 0.2500 O
0.5000 0.5000 0.0000 O
0.5000 0.5000 0.5000 O
0.5452 0.1976 0.7500 O
0.5635 0.1882 0.2500 O
0.8024 0.4548 0.7500 O
0.8118 0.4365 0.2500 O
0.8593 0.8593 0.0000 O
0.8593 0.8593 0.5000 O
```

Computed properties:
DFT total energy = -5.6084 eV/atom
DOS at the Fermi energy = 1.342 states/eV/cell
total moment = 0.00 μB per formula unit
crystal system = orthorhombic